Run w
Density functional theory data (meta-GGA SCAN) for a PBEsol-optimized structure of TlIn2.

Cell lengths 3.388, 6.287, 8.057 Å; angles 105.28, 90.00, 105.63 degrees
Atoms (fractional coordinates):
1 In 0.966 0.932 0.718
2 In 0.644 0.288 0.028
3 In 0.356 0.712 0.972
4 In 0.034 0.068 0.282
5 Tl 0.322 0.643 0.372
6 Tl 0.678 0.357 0.628

Calculated values
Space-group type   No. 12

Run x
Density functional theory data (meta-GGA SCAN) for a PBEsol-optimized structure of TlIn2.

Cell lengths 5.110, 6.411, 9.619 Å; angles 90.00, 90.00, 90.00 degrees
Atoms (fractional coordinates):
1 In 0.750 0.384 0.756
2 In 0.250 0.116 0.256
3 In 0.750 0.884 0.744
4 In 0.250 0.616 0.244
5 In 0.750 0.373 0.085
6 In 0.250 0.127 0.585
7 In 0.750 0.873 0.415
8 In 0.250 0.627 0.915
9 Tl 0.750 0.873 0.082
10 Tl 0.250 0.627 0.582
11 Tl 0.750 0.373 0.418
12 Tl 0.250 0.127 0.918

Calculated values
Space-group type   No. 62

The most stable of them is run w.

Run w
Density functional theory data (meta-GGA SCAN) for a PBEsol-optimized structure of TlIn2W.

Cell lengths 3.005, 4.669, 5.856 Å; angles 90.00, 90.00, 90.00 degrees
Atoms (fractional coordinates):
1 In 0.000 0.000 0.736
2 In 0.000 0.000 0.264
3 Tl 0.500 0.500 0.000
4 W 0.500 0.500 0.500

Calculated values
Space-group type   No. 47

Run x
Density functional theory data (meta-GGA SCAN) for a PBEsol-optimized structure of TlIn2W.

Cell lengths 2.960, 2.960, 10.751 Å; angles 90.00, 90.00, 111.58 degrees
Atoms (fractional coordinates):
1 In 0.000 0.000 0.026
2 In 0.500 0.500 0.761
3 Tl 0.000 0.000 0.473
4 W 0.500 0.500 0.241

Calculated values
Space-group type   No. 35

The most stable of them is run x.

Run w
Density functional theory data (meta-GGA SCAN) for a PBEsol-optimized structure of YTlIn.

Cell lengths 5.008, 5.008, 5.008 Å; angles 60.00, 60.00, 60.00 degrees
Atoms (fractional coordinates):
1 In 0.000 0.000 0.000
2 Tl 0.500 0.500 0.500
3 Y 0.250 0.250 0.250

Calculated values
Space-group type   No. 216

Run x
Density functional theory data (meta-GGA SCAN) for a PBEsol-optimized structure of YTlIn.

Cell lengths 3.670, 4.881, 4.881 Å; angles 120.00, 90.00, 90.00 degrees
Atoms (fractional coordinates):
1 Y 0.346 0.333 0.667
2 Tl 0.715 0.667 0.333
3 In 0.939 0.000 0.000

Calculated values
Space-group type   No. 156

The most stable of them is run x.

Run w
Density functional theory data (meta-GGA SCAN) for a PBEsol-optimized structure of ZrTlIn2.

Cell lengths 3.167, 5.297, 5.486 Å; angles 90.00, 90.00, 90.00 degrees
Atoms (fractional coordinates):
1 In 0.875 0.000 0.055
2 In 0.875 0.500 0.703
3 Tl 0.376 0.000 0.540
4 Zr 0.375 0.500 0.203

Calculated values
Space-group type   No. 25

Run x
Density functional theory data (meta-GGA SCAN) for a PBEsol-optimized structure of ZrTlIn2.

Cell lengths 4.238, 4.238, 5.778 Å; angles 111.52, 111.52, 90.00 degrees
Atoms (fractional coordinates):
1 Tl 0.000 0.000 0.000
2 Zr 0.500 0.500 0.000
3 In 0.750 0.250 0.500
4 In 0.250 0.750 0.500

Calculated values
Space-group type   No. 139

The most stable of them is run x.

Run w
Density functional theory data (meta-GGA SCAN) for a PBEsol-optimized structure of Y5In.

Cell lengths 4.792, 4.791, 7.840 Å; angles 72.21, 90.00, 90.00 degrees
Atoms (fractional coordinates):
1 Y 0.500 0.333 0.334
2 Y 0.000 0.161 0.678
3 Y 0.500 0.000 0.000
4 Y 0.000 0.839 0.322
5 Y 0.500 0.667 0.666
6 In 0.000 0.500 0.000

Calculated values
Space-group type   No. 65

Run x
Density functional theory data (meta-GGA SCAN) for a PBEsol-optimized structure of Y5In.

Cell lengths 5.489, 6.009, 6.009 Å; angles 120.00, 90.00, 90.00 degrees
Atoms (fractional coordinates):
1 Y 0.000 0.313 0.313
2 Y 0.000 0.687 0.000
3 Y 0.000 0.000 0.687
4 Y 0.500 0.333 0.667
5 Y 0.500 0.667 0.333
6 In 0.500 0.000 0.000

Calculated values
Space-group type   No. 189

Run y
Density functional theory data (meta-GGA SCAN) for a PBEsol-optimized structure of Y5In.

Cell lengths 3.519, 3.519, 14.087 Å; angles 90.00, 90.00, 90.00 degrees
Atoms (fractional coordinates):
1 Y 0.000 0.000 0.853
2 Y 0.000 0.000 0.147
3 Y 0.500 0.500 0.675
4 Y 0.500 0.500 0.325
5 Y 0.000 0.000 0.500
6 In 0.500 0.500 0.000

Calculated values
Space-group type   No. 123

Run z
Density functional theory data (meta-GGA SCAN) for a PBEsol-optimized structure of Y5In.

Cell lengths 3.527, 6.509, 8.117 Å; angles 104.32, 90.00, 105.72 degrees
Last column: magnetic moment on the atom in μB.
Atoms (fractional coordinates):
1 Y 0.672 0.345 0.333  0.18
2 Y 0.342 0.684 0.690  0.11
3 Y 0.394 0.787 0.259  0.05
4 Y 0.060 0.120 0.606  0.04
5 Y 0.703 0.406 0.946  0.11
6 In 0.996 0.991 0.000  0.00

Calculated values
Space-group type   No. 8

The most stable of them is run w.

Run w
Density functional theory data (meta-GGA SCAN) for a PBEsol-optimized structure of Y3In5.

Cell lengths 6.379, 10.239, 12.112 Å; angles 90.00, 90.00, 90.00 degrees
Atoms (fractional coordinates):
1 Y 0.648 0.250 0.057
2 Y 0.852 0.250 0.557
3 Y 0.352 0.750 0.943
4 Y 0.148 0.750 0.443
5 Y 0.110 0.507 0.143
6 Y 0.390 0.993 0.643
7 Y 0.890 0.007 0.857
8 Y 0.610 0.493 0.357
9 Y 0.890 0.493 0.857
10 Y 0.610 0.007 0.357
11 Y 0.110 0.993 0.143
12 Y 0.390 0.507 0.643
13 In 0.383 0.250 0.506
14 In 0.117 0.250 0.006
15 In 0.617 0.750 0.494
16 In 0.883 0.750 0.994
17 In 0.349 0.250 0.246
18 In 0.151 0.250 0.746
19 In 0.651 0.750 0.754
20 In 0.849 0.750 0.254
21 In 0.876 0.250 0.283
22 In 0.624 0.250 0.783
23 In 0.124 0.750 0.717
24 In 0.376 0.750 0.217
25 In 0.124 0.455 0.401
26 In 0.376 0.045 0.901
27 In 0.876 0.955 0.599
28 In 0.624 0.545 0.099
29 In 0.876 0.545 0.599
30 In 0.624 0.955 0.099
31 In 0.124 0.045 0.401
32 In 0.376 0.455 0.901

Calculated values
Space-group type   No. 62

Run x
Density functional theory data (meta-GGA SCAN) for a PBEsol-optimized structure of Y3In5.

Cell lengths 4.664, 6.494, 6.494 Å; angles 92.06, 90.00, 90.00 degrees
Atoms (fractional coordinates):
1 In 0.000 0.000 0.000
2 In 0.000 0.000 0.500
3 In 0.000 0.500 0.000
4 In 0.500 0.265 0.265
5 In 0.500 0.735 0.735
6 Y 0.000 0.500 0.500
7 Y 0.500 0.773 0.227
8 Y 0.500 0.227 0.773

Calculated values
Space-group type   No. 65

The most stable of them is run w.